Entry from the Alexandria database: an optimized crystal structure of BaY2Ag3 (GGA-PBE).

a = 3.7624 Å, b = 3.7624 Å, c = 11.4974 Å
α = 90.00°, β = 90.00°, γ = 90.00°
With the nearest neighbours (Å) after each atom.
Sites, in units of the cell vectors:
Ba 0.0000 0.0000 0.0000  8 Ag 3.58, 4 Ba 3.76, 2 Y 3.94
Y 0.0000 0.0000 0.3428  8 Ag 3.07-3.22
Y 0.0000 0.0000 0.6572  8 Ag 3.07-3.22
Ag 0.5000 0.5000 0.2088  4 Y 3.07, 1 Ag 3.35
Ag 0.5000 0.5000 0.5000  8 Y 3.22, 2 Ag 3.35
Ag 0.5000 0.5000 0.7912  4 Y 3.07, 1 Ag 3.35

Computed properties:
formation energy = -268 meV per atom

Entry from the Alexandria database: an optimized crystal structure of BaY2Ag (GGA-PBE).

a = 3.8760 Å, b = 5.7286 Å, c = 5.8629 Å
α = 90.00°, β = 90.00°, γ = 90.00°
With the nearest neighbours (Å) after each atom.
Sites, in units of the cell vectors:
Ba 0.0000 0.0000 0.0000  4 Ag 3.46, 4 Y 3.51
Y 0.0000 0.5000 0.5000  4 Y 3.46, 4 Ag 3.51
Y 0.5000 0.0000 0.5000  4 Y 3.46, 4 Ba 3.51
Ag 0.5000 0.5000 0.0000  4 Ba 3.46, 4 Y 3.51

Computed properties:
formation energy = 163 meV per atom

Entry from the Alexandria database: an optimized crystal structure of BaY2Ag (GGA-PBE).

a = 7.2756 Å, b = 7.2756 Å, c = 7.2756 Å
α = 103.05°, β = 103.05°, γ = 123.27°
With the nearest neighbours (Å) after each atom.
Sites, in units of the cell vectors:
Ba 0.0000 0.0000 0.0000  2 Ag 3.46, 8 Y 3.77-3.81
Ba 0.7500 0.2500 0.5000  2 Ag 3.46, 8 Y 3.77-3.81
Y 0.1935 0.1250 0.5685  2 Ag 2.93
Y 0.3750 0.8065 0.9315  2 Ag 2.93
Y 0.5565 0.6250 0.4315  2 Ag 2.93
Y 0.8750 0.4435 0.0685  2 Ag 2.93
Ag 0.2500 0.7500 0.5000  4 Y 2.93
Ag 0.5000 0.5000 0.0000  4 Y 2.93

Computed properties:
formation energy = 188 meV per atom

Entry from the Alexandria database: an optimized crystal structure of BaY2Ag (GGA-PBE).

a = 6.2853 Å, b = 6.2853 Å, c = 6.2853 Å
α = 133.70°, β = 133.70°, γ = 67.56°
With the nearest neighbours (Å) after each atom.
Sites, in units of the cell vectors:
Ba 0.0000 0.0000 0.0000  8 Y 3.49-3.60, 4 Ag 3.60
Y 0.2500 0.7500 0.5000  4 Ag 3.49, 4 Ba 3.60, 4 Y 3.60
Y 0.5000 0.5000 0.0000  4 Ba 3.49, 4 Ag 3.60, 4 Y 3.60
Ag 0.7500 0.2500 0.5000  8 Y 3.49-3.60, 4 Ba 3.60

Computed properties:
formation energy = 247 meV per atom

Entry from the Alexandria database: an optimized crystal structure of Ba3YAg (GGA-PBE).

a = 6.5056 Å, b = 6.5056 Å, c = 6.5056 Å
α = 90.00°, β = 90.00°, γ = 90.00°
With the nearest neighbours (Å) after each atom.
Sites, in units of the cell vectors:
Ba 0.0000 0.0000 0.5000  2 Y 3.25
Ba 0.0000 0.5000 0.0000  2 Y 3.25
Ba 0.5000 0.0000 0.0000  2 Y 3.25
Y 0.0000 0.0000 0.0000  6 Ba 3.25
Ag 0.5000 0.5000 0.5000  12 Ba 4.60

Computed properties:
formation energy = 715 meV per atom

Entry from the Alexandria database: an optimized crystal structure of BaYAg3 (GGA-PBE).

a = 5.5655 Å, b = 5.5655 Å, c = 5.5655 Å
α = 90.00°, β = 90.00°, γ = 90.00°
With the nearest neighbours (Å) after each atom.
Sites, in units of the cell vectors:
Ba 0.0000 0.0000 0.0000  12 Ag 3.94
Y 0.5000 0.5000 0.5000  6 Ag 2.78
Ag 0.0000 0.5000 0.5000  2 Y 2.78
Ag 0.5000 0.0000 0.5000  2 Y 2.78
Ag 0.5000 0.5000 0.0000  2 Y 2.78

Computed properties:
formation energy = 183 meV per atom

Entry from the Alexandria database: an optimized crystal structure of Ba2YAg (GGA-PBE).

a = 5.8491 Å, b = 5.8491 Å, c = 5.8491 Å
α = 60.00°, β = 60.00°, γ = 60.00°
With the nearest neighbours (Å) after each atom.
Sites, in units of the cell vectors:
Ba 0.0000 0.0000 0.0000  4 Ba 3.58, 4 Ag 3.58
Ba 0.2500 0.2500 0.2500  4 Y 3.58, 4 Ba 3.58
Y 0.5000 0.5000 0.5000  4 Ba 3.58, 4 Ag 3.58
Ag 0.7500 0.7500 0.7500  4 Y 3.58, 4 Ba 3.58

Computed properties:
formation energy = 259 meV per atom

Entry from the Alexandria database: an optimized crystal structure of BaYAg3 (GGA-PBE).

a = 5.6843 Å, b = 5.6843 Å, c = 5.6843 Å
α = 90.00°, β = 90.00°, γ = 90.00°
With the nearest neighbours (Å) after each atom.
Sites, in units of the cell vectors:
Ba 0.0000 0.0000 0.0000  6 Ag 2.84
Y 0.5000 0.5000 0.5000  12 Ag 4.02
Ag 0.0000 0.0000 0.5000  2 Ba 2.84
Ag 0.0000 0.5000 0.0000  2 Ba 2.84
Ag 0.5000 0.0000 0.0000  2 Ba 2.84

Computed properties:
formation energy = 826 meV per atom

Entry from the Alexandria database: an optimized crystal structure of BaY2Ag (GGA-PBE).

a = 7.1381 Å, b = 7.1381 Å, c = 7.1381 Å
α = 149.95°, β = 131.39°, γ = 58.21°
With the nearest neighbours (Å) after each atom.
Sites, in units of the cell vectors:
Ba 0.0000 0.0000 0.0000  4 Ag 3.47, 2 Ba 3.70, 4 Y 3.88
Y 0.2967 0.7967 0.5000  2 Ag 3.14
Y 0.7033 0.2033 0.5000  2 Ag 3.14
Ag 0.5000 0.5000 0.0000  4 Y 3.14, 4 Ba 3.47

Computed properties:
formation energy = 1 meV per atom

Entry from the Alexandria database: an optimized crystal structure of BaY2Ag (GGA-PBE).

a = 3.7279 Å, b = 3.7279 Å, c = 9.7373 Å
α = 90.00°, β = 90.00°, γ = 90.00°
With the nearest neighbours (Å) after each atom.
Sites, in units of the cell vectors:
Ba 0.0000 0.0000 0.0000  4 Ba 3.73, 8 Y 4.11
Y 0.5000 0.5000 0.3234  4 Ag 3.15, 1 Y 3.44
Y 0.5000 0.5000 0.6766  4 Ag 3.15, 1 Y 3.44
Ag 0.0000 0.0000 0.5000  8 Y 3.15

Computed properties:
formation energy = 2 meV per atom

Entry from the Alexandria database: an optimized crystal structure of BaY2Ag (GGA-PBE).

a = 3.8458 Å, b = 3.8458 Å, c = 9.1782 Å
α = 90.00°, β = 90.00°, γ = 90.00°
With the nearest neighbours (Å) after each atom.
Sites, in units of the cell vectors:
Ba 0.0000 0.0000 0.0000  4 Ag 3.60, 1 Y 3.83, 4 Ba 3.85
Y 0.0000 0.0000 0.4177  4 Ag 3.10
Y 0.5000 0.5000 0.6613  8 Y 3.52-3.85, 1 Ag 3.72
Ag 0.5000 0.5000 0.2564  4 Y 3.10

Computed properties:
formation energy = -42 meV per atom

Entry from the Alexandria database: an optimized crystal structure of Ba2YAg2 (GGA-PBE).

a = 8.4990 Å, b = 8.4990 Å, c = 4.9025 Å
α = 90.00°, β = 90.00°, γ = 90.00°
With the nearest neighbours (Å) after each atom.
Sites, in units of the cell vectors:
Ba 0.1723 0.3277 0.0000  6 Ag 3.42-3.56
Ba 0.3277 0.8277 0.0000  6 Ag 3.42-3.56
Ba 0.6723 0.1723 0.0000  6 Ag 3.42-3.56
Ba 0.8277 0.6723 0.0000  6 Ag 3.42-3.56
Y 0.0000 0.0000 0.5000  4 Ag 3.34
Y 0.5000 0.5000 0.5000  4 Ag 3.34
Ag 0.1292 0.6292 0.5000  1 Ag 3.11, 2 Y 3.34, 2 Ba 3.42
Ag 0.3708 0.1292 0.5000  1 Ag 3.11, 2 Y 3.34, 2 Ba 3.42
Ag 0.6292 0.8708 0.5000  1 Ag 3.11, 2 Y 3.34, 2 Ba 3.42
Ag 0.8708 0.3708 0.5000  1 Ag 3.11, 2 Y 3.34, 2 Ba 3.42

Computed properties:
formation energy = -99 meV per atom

Entry from the Alexandria database: an optimized crystal structure of BaY2Ag (GGA-PBE).

a = 11.0509 Å, b = 11.0509 Å, c = 11.0509 Å
α = 20.20°, β = 20.20°, γ = 20.20°
With the nearest neighbours (Å) after each atom.
Sites, in units of the cell vectors:
Ba 0.0000 0.0000 0.0000  6 Ba 3.88, 6 Y 4.05
Y 0.2295 0.2295 0.2295  3 Ag 3.03
Y 0.7705 0.7705 0.7705  3 Ag 3.03
Ag 0.5000 0.5000 0.5000  6 Y 3.03

Computed properties:
formation energy = 125 meV per atom

Entry from the Alexandria database: an optimized crystal structure of Ba3YAg (GGA-PBE).

a = 6.4095 Å, b = 6.4095 Å, c = 6.4095 Å
α = 90.00°, β = 90.00°, γ = 90.00°
With the nearest neighbours (Å) after each atom.
Sites, in units of the cell vectors:
Ba 0.0000 0.0000 0.5000  2 Ag 3.20
Ba 0.0000 0.5000 0.0000  2 Ag 3.20
Ba 0.5000 0.0000 0.0000  2 Ag 3.20
Y 0.5000 0.5000 0.5000  12 Ba 4.53
Ag 0.0000 0.0000 0.0000  6 Ba 3.20

Computed properties:
formation energy = 242 meV per atom

Entry from the Alexandria database: an optimized crystal structure of BaY4Ag (GGA-PBE).

a = 6.6997 Å, b = 6.6997 Å, c = 6.6997 Å
α = 60.00°, β = 60.00°, γ = 60.00°
With the nearest neighbours (Å) after each atom.
Sites, in units of the cell vectors:
Ba 0.0000 0.0000 0.0000  12 Y 3.93, 4 Ag 4.10
Y 0.1281 0.6240 0.6240  6 Y 3.32-3.38
Y 0.6240 0.1281 0.6240  6 Y 3.32-3.38
Y 0.6240 0.6240 0.1281  6 Y 3.32-3.38
Y 0.6240 0.6240 0.6240  6 Y 3.32-3.38
Ag 0.2500 0.2500 0.2500  12 Y 3.93, 4 Ba 4.10

Computed properties:
formation energy = 443 meV per atom

Entry from the Alexandria database: an optimized crystal structure of Ba2YAg (GGA-PBE).

a = 6.0935 Å, b = 6.0935 Å, c = 6.0935 Å
α = 60.00°, β = 60.00°, γ = 60.00°
With the nearest neighbours (Å) after each atom.
Sites, in units of the cell vectors:
Ba 0.2500 0.2500 0.2500  4 Ag 3.73, 4 Y 3.73
Ba 0.7500 0.7500 0.7500  4 Y 3.73, 4 Ag 3.73
Y 0.0000 0.0000 0.0000  8 Ba 3.73
Ag 0.5000 0.5000 0.5000  8 Ba 3.73

Computed properties:
formation energy = 284 meV per atom

Entry from the Alexandria database: an optimized crystal structure of Ba2YAg (GGA-PBE).

a = 6.7734 Å, b = 6.7734 Å, c = 6.7734 Å
α = 135.52°, β = 135.52°, γ = 64.73°
With the nearest neighbours (Å) after each atom.
Sites, in units of the cell vectors:
Ba 0.2500 0.7500 0.5000  4 Ba 3.63, 4 Ag 3.84, 4 Y 3.84
Ba 0.7500 0.2500 0.5000  4 Ba 3.63, 4 Ag 3.84, 4 Y 3.84
Y 0.0000 0.0000 0.0000  4 Ag 3.63, 8 Ba 3.84
Ag 0.5000 0.5000 0.0000  4 Y 3.63, 8 Ba 3.84

Computed properties:
formation energy = 259 meV per atom

Entry from the Alexandria database: an optimized crystal structure of BaY2Ag (GGA-PBE).

a = 5.5224 Å, b = 5.5224 Å, c = 5.5224 Å
α = 60.00°, β = 60.00°, γ = 60.00°
With the nearest neighbours (Å) after each atom.
Sites, in units of the cell vectors:
Ba 0.0000 0.0000 0.0000  8 Y 3.38
Y 0.2500 0.2500 0.2500  4 Ag 3.38, 4 Ba 3.38
Y 0.7500 0.7500 0.7500  4 Ag 3.38, 4 Ba 3.38
Ag 0.5000 0.5000 0.5000  8 Y 3.38

Computed properties:
formation energy = 250 meV per atom

Entry from the Alexandria database: an optimized crystal structure of Ba2YAg (GGA-PBE).

a = 7.4752 Å, b = 7.4752 Å, c = 6.2131 Å
α = 114.52°, β = 114.52°, γ = 31.00°
With the nearest neighbours (Å) after each atom.
Sites, in units of the cell vectors:
Ba 0.0000 0.0000 0.0000  4 Ag 3.70-3.71, 4 Ba 4.00-4.04, 2 Y 4.03-4.04
Ba 0.1981 0.1981 0.6977  2 Ag 3.51, 4 Y 3.93
Y 0.8020 0.8020 0.3016  2 Ag 3.01
Ag 0.4757 0.4757 0.4762  2 Y 3.01

Computed properties:
formation energy = 33 meV per atom

Entry from the Alexandria database: an optimized crystal structure of Ba2YAg (GGA-PBE).

a = 6.1735 Å, b = 6.1735 Å, c = 4.1355 Å
α = 90.00°, β = 90.00°, γ = 91.36°
With the nearest neighbours (Å) after each atom.
Sites, in units of the cell vectors:
Ba 0.0000 0.5000 0.0000  4 Y 3.72, 4 Ag 3.72, 2 Ba 4.14
Ba 0.5000 0.0000 0.0000  4 Ag 3.72, 4 Y 3.72, 2 Ba 4.14
Y 0.0000 0.0000 0.5000  8 Ba 3.72, 2 Y 4.14
Ag 0.5000 0.5000 0.5000  8 Ba 3.72, 2 Ag 4.14

Computed properties:
formation energy = 160 meV per atom